The following is a PBE calculation of a relaxed Pm5DyEr12 crystal, from the Alexandria database.

## Properties
symmetry	C2/m

```
Pm5DyEr12
1.0
11.687 0.000 0.004
5.843 8.555 0.002
-0.002 0.000 5.700
Pm Dy Er
5 1 12
Direct
0.500 0.000 0.500
0.138 0.723 0.500
0.862 0.277 0.500
0.640 0.719 0.000
0.360 0.281 0.000
0.000 0.000 0.000
0.802 0.000 0.499
0.198 0.000 0.501
0.699 0.000 0.999
0.301 0.000 0.001
0.334 0.644 0.000
0.022 0.644 0.000
0.978 0.356 0.000
0.666 0.356 0.000
0.476 0.357 0.500
0.834 0.643 0.500
0.166 0.357 0.500
0.524 0.643 0.500
```

=====

The following is a PBE calculation of a relaxed Pm4Dy5Er2 crystal, from the Alexandria database.

## Properties
symmetry	Immm

```
Pm4Dy5Er2
1.0
-2.988 -1.520 -0.988
-0.754 -3.920 8.307
-4.012 11.837 0.109
Pm Dy Er
4 5 2
Direct
0.000 0.297 0.000
0.596 0.596 0.193
0.000 0.703 0.000
0.404 0.404 0.807
0.851 0.052 0.703
0.851 0.650 0.703
0.149 0.350 0.297
0.149 0.948 0.297
0.500 0.000 0.000
0.270 0.270 0.540
0.730 0.730 0.460
```

=====

The following is a PBE calculation of a relaxed Pm3Dy3Er2 crystal, from the Alexandria database.

## Properties
symmetry	Immm

```
Pm3Dy3Er2
1.0
-4.645 -0.898 1.771
0.421 -4.851 -1.357
5.993 0.676 8.858
Pm Dy Er
3 3 2
Direct
0.126 0.126 0.252
0.000 0.500 0.000
0.874 0.874 0.748
0.627 0.627 0.253
0.373 0.373 0.747
0.500 0.000 0.000
0.750 0.250 0.501
0.250 0.750 0.499
```

=====

The following is a PBE calculation of a relaxed PmDyEr4 crystal, from the Alexandria database.

## Properties
symmetry	Imma

```
PmDyEr4
1.0
-1.420 -1.114 -5.787
4.768 -2.953 -0.601
-7.018 -7.219 6.286
Pm Dy Er
2 2 8
Direct
0.500 0.500 0.500
0.000 0.000 0.500
0.173 0.750 0.000
0.827 0.250 0.000
0.342 0.909 0.317
0.975 0.409 0.317
0.754 0.832 0.163
0.409 0.332 0.163
0.246 0.168 0.837
0.591 0.668 0.837
0.658 0.091 0.683
0.025 0.591 0.683
```

=====

The following is a PBE calculation of a relaxed PmDy3Er3 crystal, from the Alexandria database.

## Properties
symmetry	P6_3/m

```
PmDy3Er3
1.0
-1.519 -0.074 -5.436
9.171 -0.605 -2.555
-5.061 -7.942 1.522
Pm Dy Er
2 6 6
Direct
0.250 0.667 0.333
0.750 0.333 0.667
0.250 0.811 0.762
0.250 0.238 0.049
0.250 0.951 0.189
0.750 0.189 0.238
0.750 0.762 0.951
0.750 0.049 0.811
0.750 0.619 0.523
0.750 0.477 0.096
0.750 0.904 0.381
0.250 0.381 0.477
0.250 0.523 0.904
0.250 0.096 0.619
```

=====

The following is a PBE calculation of a relaxed Pm3Dy2Er crystal, from the Alexandria database.

## Properties
symmetry	P-1

```
Pm3Dy2Er
1.0
6.985 -1.127 -1.491
-4.175 9.386 -0.413
-2.156 0.723 6.871
Pm Dy Er
6 4 2
Direct
0.253 0.002 0.750
0.747 0.998 0.250
0.807 0.668 0.861
0.195 0.335 0.639
0.805 0.665 0.361
0.193 0.332 0.139
0.306 0.669 0.361
0.304 0.667 0.861
0.696 0.333 0.139
0.694 0.331 0.639
0.252 0.001 0.251
0.748 0.999 0.749
```

=====

The following is a PBE calculation of a relaxed Pm6DyEr crystal, from the Alexandria database.

## Properties
symmetry	C2/m

```
Pm6DyEr
1.0
6.028 -0.139 -1.675
-2.452 5.507 -1.678
0.050 0.080 8.110
Pm Dy Er
6 1 1
Direct
0.623 0.124 0.247
0.876 0.377 0.753
0.250 0.250 0.500
0.124 0.623 0.247
0.377 0.876 0.753
0.750 0.750 0.500
0.500 0.500 0.000
0.000 0.000 0.000
```

=====

The following is a PBE calculation of a relaxed Pm12Dy6Er crystal, from the Alexandria database.

## Properties
symmetry	R-3

```
Pm12Dy6Er
1.0
8.573 0.693 0.830
-0.615 8.579 0.830
-0.615 -0.716 8.589
Pm Dy Er
12 6 1
Direct
0.780 0.537 0.434
0.434 0.780 0.537
0.537 0.434 0.780
0.220 0.463 0.566
0.566 0.220 0.463
0.463 0.566 0.220
0.017 0.195 0.361
0.805 0.639 0.983
0.639 0.983 0.805
0.983 0.805 0.639
0.195 0.361 0.017
0.361 0.017 0.195
0.740 0.902 0.299
0.701 0.260 0.098
0.098 0.701 0.260
0.260 0.098 0.701
0.299 0.740 0.902
0.902 0.299 0.740
0.000 0.000 0.000
```

=====

The following is a PBE calculation of a relaxed Pm3Dy3Er8 crystal, from the Alexandria database.

## Properties
symmetry	Immm

```
Pm3Dy3Er8
1.0
-3.486 1.286 -4.205
-8.746 -3.069 2.567
-1.136 9.550 0.118
Pm Dy Er
3 3 8
Direct
0.500 0.000 0.000
0.000 0.816 0.184
0.000 0.184 0.816
0.500 0.500 0.500
0.796 0.204 0.204
0.204 0.796 0.796
0.660 0.119 0.560
0.340 0.881 0.440
0.660 0.560 0.119
0.340 0.440 0.881
0.842 0.761 0.555
0.158 0.239 0.445
0.842 0.555 0.761
0.158 0.445 0.239
```

=====

The following is a PBE calculation of a relaxed PmDy3Er3 crystal, from the Alexandria database.

## Properties
symmetry	R-3

```
PmDy3Er3
1.0
7.786 0.469 4.003
2.644 7.339 4.003
0.627 0.469 8.733
Pm Dy Er
2 6 6
Direct
0.348 0.348 0.348
0.652 0.652 0.652
0.726 0.569 0.065
0.065 0.726 0.569
0.569 0.065 0.726
0.431 0.935 0.274
0.935 0.274 0.431
0.274 0.431 0.935
0.714 0.173 0.936
0.173 0.936 0.714
0.936 0.714 0.173
0.064 0.286 0.827
0.827 0.064 0.286
0.286 0.827 0.064
```

=====

The following is a PBE calculation of a relaxed Pm2DyEr12 crystal, from the Alexandria database.

## Properties
symmetry	C2/m

```
Pm2DyEr12
1.0
6.430 1.474 -0.732
1.408 6.486 0.045
-1.629 -0.259 23.970
Pm Dy Er
4 2 24
Direct
0.710 0.930 0.279
0.210 0.430 0.279
0.790 0.570 0.721
0.290 0.070 0.721
0.500 0.000 0.000
0.000 0.500 0.000
0.606 0.298 0.809
0.106 0.798 0.809
0.643 0.785 0.858
0.450 0.517 0.934
0.244 0.919 0.324
0.050 0.983 0.066
0.407 0.364 0.543
0.744 0.419 0.324
0.143 0.286 0.857
0.857 0.715 0.142
0.941 0.353 0.588
0.093 0.136 0.457
0.756 0.081 0.676
0.559 0.147 0.412
0.357 0.214 0.143
0.059 0.647 0.412
0.441 0.853 0.588
0.894 0.202 0.191
0.907 0.864 0.543
0.256 0.581 0.676
0.950 0.017 0.934
0.394 0.702 0.191
0.593 0.636 0.457
0.550 0.483 0.066
```

=====

The following is a PBE calculation of a relaxed PmDy3Er4 crystal, from the Alexandria database.

## Properties
symmetry	Pmmm

```
PmDy3Er4
1.0
3.346 0.669 0.947
1.807 7.544 1.544
0.910 -0.709 10.526
Er Dy Pm
4 3 1
Direct
0.000 0.752 0.748
0.497 0.751 0.252
0.000 0.249 0.251
0.503 0.249 0.749
0.500 0.000 0.500
0.000 0.000 0.000
0.000 0.500 0.500
0.500 0.500 0.000
```

=====

One value per record, in order, for DFT formation energy: 2.15; 6.26; 0.47; 1.29; 0.22; 0.15; 0.38; 3.16; 2.56; 5.05; 0.57; 0.48 kcal/mol of atoms.